Entry from Alexandria: a relaxed La2ZnInPd6 crystal (GGA-PBE).

Output
energy	-5.09	eV per atom
V	23.20	Å³ per atom
formation energy	-0.583	eV per atom
DOS(E_F)	3.9	states/eV per cell
mass density	7.85	g/cm³

Cell and atoms, written as POSCAR:
```
La2ZnInPd6
1.0
8.631 0.056 -1.840
-0.047 5.722 -0.004
2.757 2.887 4.104
Pd La Zn In
6 2 1 1
Cartesian
6.324 4.351 -1.298
4.987 7.200 3.562
5.017 4.314 3.558
3.642 2.881 1.526
7.699 5.784 0.735
6.354 1.466 -1.302
4.268 5.750 1.072
7.073 2.916 1.188
4.292 2.889 -0.922
0.000 0.000 0.000
```

=====

Entry from Alexandria: a relaxed Pr2YPaN4 crystal (GGA-PBE).

Output
energy	-8.90	eV per atom
V	16.26	Å³ per atom
DOS(E_F)	3.3	states/eV per cell
mass density	8.39	g/cm³
formation energy from raw total energies	-1.548	eV/atom

Cell and atoms, written as POSCAR:
```
Pr2YPaN4
1.0
-1.419 3.286 0.198
-1.185 -0.871 5.953
5.707 2.501 -0.594
Pr N Y Pa
2 4 1 1
Cartesian
2.144 2.893 -0.198
2.261 0.815 2.679
0.248 1.982 1.333
4.160 1.737 0.988
2.855 2.933 4.224
0.362 -0.108 4.370
-1.302 1.207 3.076
0.000 0.000 0.000
```

=====

Entry from Alexandria: a relaxed Na3Ti2CrSe6 crystal (GGA-PBE).

Output
energy	-5.22	eV per atom
V	21.56	Å³ per atom
DOS(E_F)	6.6	states/eV per cell
mass density	4.43	g/cm³
formation energy from raw total energies	-1.035	eV/atom

Cell and atoms, written as POSCAR:
```
Na3Ti2CrSe6
1.0
-3.331 -3.523 -4.427
5.689 -2.255 2.379
-4.190 -1.285 5.792
Se Ti Cr Na
6 2 1 3
Cartesian
-2.998 -5.666 1.908
-2.699 -2.485 4.041
-0.034 -5.249 4.144
-1.798 -1.814 -0.400
0.867 -4.578 -0.297
1.166 -1.397 1.836
-0.274 -3.094 -2.120
2.632 -2.685 0.072
0.000 0.000 0.000
-0.916 -3.532 1.872
-3.894 -3.950 -0.375
2.062 -3.113 4.118
```

=====

Entry from Alexandria: a relaxed CsHoPuO6 crystal (GGA-PBE).

Output
energy	-7.95	eV per atom
V	21.31	Å³ per atom
mass density	5.52	g/cm³
formation energy from raw total energies	-2.449	eV/atom

Cell and atoms, written as POSCAR:
```
CsHoPuO6
1.0
5.845 0.000 0.000
2.923 5.062 0.000
0.000 0.000 6.482
O Cs Ho Pu
6 1 1 1
Cartesian
1.295 1.895 2.129
3.917 2.993 2.129
4.550 1.895 4.352
2.289 0.173 4.352
3.557 0.173 2.130
1.928 2.993 4.352
8.768 5.062 6.482
5.845 3.375 3.241
2.923 1.687 3.241
```

=====

Entry from Alexandria: a relaxed YCr2P crystal (GGA-PBE).

Output
energy	-7.87	eV per atom
V	16.30	Å³ per atom
formation energy	-0.092	eV per atom
DOS(E_F)	2.3	states/eV per cell
mass density	5.70	g/cm³

Cell and atoms, written as POSCAR:
```
YCr2P
1.0
4.499 -0.005 0.001
3.363 2.988 0.001
0.946 0.359 4.843
Cr P Y
2 1 1
Cartesian
0.992 0.377 4.327
4.357 1.653 2.938
6.606 2.507 3.633
2.202 0.836 1.211
```